BaCO3: optimized geometry, PBE-GGA. Values from VASP.

Geometry as Quantum ESPRESSO input:
```
&SYSTEM
  ibrav = 0, nat = 5, ntyp = 3
/
ATOMIC_SPECIES
Ba 137.33 Ba.upf
C 12.01 C.upf
O 16.00 O.upf
CELL_PARAMETERS angstrom
3.782 0.000 0.000
0.000 3.782 0.000
0.000 0.000 3.782
ATOMIC_POSITIONS angstrom
Ba 0.000 0.000 0.000
C 1.891 1.891 1.891
O 0.000 1.891 1.891
O 1.891 0.000 1.891
O 1.891 1.891 0.000
```

## Properties
* mass density: 6.06 g/cm³
* spin magnetization: 0.3 Bohr magnetons per cell
* space-group type: No. 221

BaC4O4: optimized geometry, PBE-GGA. Values from VASP.

Geometry as Quantum ESPRESSO input:
```
&SYSTEM
  ibrav = 0, nat = 18, ntyp = 3
/
ATOMIC_SPECIES
Ba 137.33 Ba.upf
C 12.01 C.upf
O 16.00 O.upf
CELL_PARAMETERS angstrom
-3.232 3.232 6.268
3.232 -3.232 6.268
3.232 3.232 -6.268
ATOMIC_POSITIONS angstrom
Ba 0.000 0.000 3.134
Ba 0.000 0.000 9.402
C 3.753 0.520 -0.737
C 3.753 0.520 0.737
C 0.520 2.712 -0.737
C 0.520 2.712 0.737
C 2.712 0.520 5.531
C 2.712 0.520 7.005
C -0.520 2.712 5.531
C -0.520 2.712 7.005
O 4.379 1.147 -1.643
O 1.147 2.086 -1.643
O 4.379 1.147 1.643
O 1.147 2.086 1.643
O 2.086 1.147 4.625
O -1.147 2.086 4.625
O 2.086 1.147 7.911
O -1.147 2.086 7.911
```

## Properties
* mass density: 3.16 g/cm³
* spin magnetization: 0.0 Bohr magnetons per cell
* space-group type: No. 140

BaCO2: optimized geometry, PBE-GGA. Values from VASP.

Geometry as Quantum ESPRESSO input:
```
&SYSTEM
  ibrav = 0, nat = 4, ntyp = 3
/
ATOMIC_SPECIES
Ba 137.33 Ba.upf
C 12.01 C.upf
O 16.00 O.upf
CELL_PARAMETERS angstrom
1.897 1.095 6.620
-1.897 1.095 6.620
0.000 -2.190 6.620
ATOMIC_POSITIONS angstrom
Ba 0.000 0.000 0.000
C 0.000 0.000 9.931
O 0.000 0.000 8.728
O 0.000 0.000 11.133
```

## Properties
* mass density: 3.65 g/cm³
* spin magnetization: 0.0 Bohr magnetons per cell
* space-group type: No. 166

BaCO3: optimized geometry, PBE-GGA. Values from VASP.

Geometry as Quantum ESPRESSO input:
```
&SYSTEM
  ibrav = 0, nat = 10, ntyp = 3
/
ATOMIC_SPECIES
Ba 137.33 Ba.upf
C 12.01 C.upf
O 16.00 O.upf
CELL_PARAMETERS angstrom
4.611 0.000 0.000
0.000 5.357 0.000
-2.136 0.000 6.653
ATOMIC_POSITIONS angstrom
Ba 0.229 1.339 1.802
Ba 2.246 4.018 4.851
C -0.493 1.339 4.934
C 2.968 4.018 1.719
O -1.511 1.339 5.749
O -0.013 0.212 4.495
O -0.013 2.466 4.495
O 2.488 2.891 2.158
O 2.488 5.145 2.158
O 3.986 4.018 0.904
```

## Properties
* mass density: 3.99 g/cm³
* spin magnetization: 0.0 Bohr magnetons per cell
* space-group type: No. 11

BaCO3: optimized geometry, PBE-GGA. Values from VASP.

Geometry as Quantum ESPRESSO input:
```
&SYSTEM
  ibrav = 0, nat = 10, ntyp = 3
/
ATOMIC_SPECIES
Ba 137.33 Ba.upf
C 12.01 C.upf
O 16.00 O.upf
CELL_PARAMETERS angstrom
2.738 1.581 6.802
-2.738 1.581 6.802
0.000 -3.162 6.802
ATOMIC_POSITIONS angstrom
Ba 0.000 0.000 0.000
Ba 0.000 0.000 10.203
C 0.000 0.000 5.102
C 0.000 0.000 15.305
O -0.651 -1.128 5.102
O -0.651 1.128 5.102
O 1.302 0.000 5.102
O -1.302 0.000 15.305
O 0.651 -1.128 15.305
O 0.651 1.128 15.305
```

## Properties
* mass density: 3.71 g/cm³
* spin magnetization: 0.0 Bohr magnetons per cell
* space-group type: No. 167

BaCO3: optimized geometry, PBE-GGA. Values from VASP.

Geometry as Quantum ESPRESSO input:
```
&SYSTEM
  ibrav = 0, nat = 10, ntyp = 3
/
ATOMIC_SPECIES
Ba 137.33 Ba.upf
C 12.01 C.upf
O 16.00 O.upf
CELL_PARAMETERS angstrom
3.745 -2.679 0.000
3.745 2.679 0.000
-3.644 0.000 8.161
ATOMIC_POSITIONS angstrom
Ba 0.000 0.000 0.000
Ba -1.822 0.000 4.081
C 0.645 0.000 6.257
C 3.202 0.000 1.904
O 0.289 1.128 5.700
O 2.543 0.000 0.795
O 3.558 1.128 2.462
O 0.289 -1.128 5.700
O 1.304 0.000 7.366
O 3.558 -1.128 2.462
```

## Properties
* mass density: 4.00 g/cm³
* spin magnetization: 0.0 Bohr magnetons per cell
* space-group type: No. 12

N(E_F), record by record: 0.663 0.000 0.743 0.000 0.000 0.000 states/eV per atom
Energy relative to the elements, uncorrected, record by record: -0.18 -1.18 -0.71 -2.25 -2.21 -2.23 eV/atom